Entry 1:
# Sm2Zn3Ga4Pd (PBE-GGA, optimized geometry)
# V (Å³ per atom): 18.95
# Formation energy (eV per atom): -0.540
# Magnetization (μB/atom): 0.00
data_Sm2Zn3Ga4Pd
_space_group_name_H-M_alt 'P -4 m 2'
_space_group_IT_number 115
_space_group_name_Hall 'P -4 -2'
_cell_length_a 4.220
_cell_length_b 4.220
_cell_length_c 10.643
_cell_angle_alpha 90.00
_cell_angle_beta 90.00
_cell_angle_gamma 90.00
loop_
_atom_site_label
_atom_site_type_symbol
_atom_site_fract_x
_atom_site_fract_y
_atom_site_fract_z
Sm1 Sm 0.000 0.500 0.249
Zn1 Zn 0.000 0.500 0.863
Zn2 Zn 0.500 0.500 0.500
Ga1 Ga 0.000 0.000 0.000
Ga2 Ga 0.000 0.500 0.634
Ga3 Ga 0.500 0.500 0.000
Pd1 Pd 0.000 0.000 0.500



Entry 2:
# SmZnGaPd2 (PBE-GGA, optimized geometry)
# V (Å³ per atom): 19.64
# Formation energy (eV per atom): -0.548
# Magnetization (μB/atom): 0.00
data_SmZnGaPd2
_space_group_name_H-M_alt 'C m m e'
_space_group_IT_number 67
_space_group_name_Hall '-C 2a 2'
_cell_length_a 5.317
_cell_length_b 13.164
_cell_length_c 5.613
_cell_angle_alpha 90.00
_cell_angle_beta 90.00
_cell_angle_gamma 90.00
loop_
_atom_site_label
_atom_site_type_symbol
_atom_site_fract_x
_atom_site_fract_y
_atom_site_fract_z
Sm1 Sm 0.000 0.250 0.228
Zn1 Zn 0.000 0.000 0.000
Ga1 Ga 0.250 0.000 0.500
Pd1 Pd 0.000 0.145 0.706



Entry 3:
# Sm2Zn4GaPd3 (PBE-GGA, optimized geometry)
# V (Å³ per atom): 18.90
# Formation energy (eV per atom): -0.575
# Magnetization (μB/atom): 0.00
data_Sm2Zn4GaPd3
_space_group_name_H-M_alt 'P -4 m 2'
_space_group_IT_number 115
_space_group_name_Hall 'P -4 -2'
_cell_length_a 3.984
_cell_length_b 3.984
_cell_length_c 11.907
_cell_angle_alpha 90.00
_cell_angle_beta 90.00
_cell_angle_gamma 90.00
loop_
_atom_site_label
_atom_site_type_symbol
_atom_site_fract_x
_atom_site_fract_y
_atom_site_fract_z
Sm1 Sm 0.000 0.500 0.247
Zn1 Zn 0.000 0.000 0.000
Zn2 Zn 0.000 0.500 0.640
Zn3 Zn 0.500 0.500 0.000
Ga1 Ga 0.000 0.000 0.500
Pd1 Pd 0.000 0.500 0.855
Pd2 Pd 0.500 0.500 0.500



Entry 4:
# Sm2ZnGa2Pd5 (PBE-GGA, optimized geometry)
# V (Å³ per atom): 18.24
# Formation energy (eV per atom): -0.671
# Magnetization (μB/atom): 0.00
data_Sm2ZnGa2Pd5
_space_group_name_H-M_alt 'P 4/m b m'
_space_group_IT_number 127
_space_group_name_Hall '-P 4 2ab'
_cell_length_a 10.293
_cell_length_b 10.293
_cell_length_c 3.443
_cell_angle_alpha 90.00
_cell_angle_beta 90.00
_cell_angle_gamma 90.00
loop_
_atom_site_label
_atom_site_type_symbol
_atom_site_fract_x
_atom_site_fract_y
_atom_site_fract_z
Sm1 Sm 0.175 0.325 0.000
Zn1 Zn 0.000 0.000 0.000
Ga1 Ga 0.127 0.627 0.000
Pd1 Pd 0.000 0.500 0.500
Pd2 Pd 0.053 0.801 0.500